Sc2RhPb2: relaxed, PBE.

The structure in CIF format:
```
data_Sc2RhPb2
_cell_length_a 6.904
_cell_length_b 6.904
_cell_length_c 4.976
_cell_angle_alpha 90.00
_cell_angle_beta 90.00
_cell_angle_gamma 90.00
_symmetry_space_group_name_H-M 'P 4/m b m'
_symmetry_Int_Tables_number 127
_symmetry_space_group_name_Hall '-P 4 2ab'
loop_
_atom_site_label
_atom_site_fract_x
_atom_site_fract_y
_atom_site_fract_z
Sc1 0.163 0.337 0.000
Rh1 0.000 0.000 0.000
Pb1 0.165 0.665 0.500
```

For the energy relative to the elements, the calculation gives -0.232 eV/atom. The calculation puts the uncorrected energy at -5.7185 eV per atom.